Entry 1:
Compound: Sc2RuC
Source: the Alexandria database
Functional: PBE
Structure: optimized geometry

Computed properties:
The formation energy is 0.013 eV per atom.

a = 3.1831 Å, b = 3.1831 Å, c = 22.5244 Å
α = 90.00°, β = 90.00°, γ = 120.00°
Space group R-3m (No. 166, hexagonal axes)
Inequivalent atoms, fractional coordinates:
Sc  0.0000  0.0000  0.1101 x6
Ru  0.0000  0.0000  0.0000 x3
C  0.0000  0.0000  0.5000 x3

=====

Entry 2:
Compound: BAu2C
Source: the Alexandria database
Functional: PBE
Structure: optimized geometry

Computed properties:
The formation energy is 0.517 eV per atom. For the energy above the most stable polymorph in this dataset, the calculation gives 226.0 meV per atom.

a = 2.848 Å, b = 3.055 Å, c = 12.206 Å
α = 90.00°, β = 90.00°, γ = 90.00°
Space group Amm2 (No. 38)
Inequivalent atoms, fractional coordinates:
B  0.000  0.000  0.000 x2
Au  0.000  0.000  0.356 x2
Au  0.500  0.000  0.680 x2
C  0.500  0.000  0.047 x2

=====

Entry 3:
Compound: ScWCl2
Source: the Alexandria database
Functional: PBE
Structure: optimized geometry

Computed properties:
For the energy above the most stable polymorph in this dataset, the calculation gives 1136.1 meV per atom. The uncorrected formation energy comes out at 0.668 eV per atom.

a = 6.966 Å, b = 6.966 Å, c = 6.966 Å
α = 90.00°, β = 90.00°, γ = 90.00°
Space group F-43m (No. 216)
Inequivalent atoms, fractional coordinates:
Sc  0.000  0.000  0.000 x4
W  0.250  0.250  0.250 x4
Cl  0.000  0.000  0.500 x4
Cl  0.250  0.250  0.750 x4

=====

Entry 4:
Compound: Nb3RuPt
Source: the Alexandria database
Functional: PBE
Structure: optimized geometry

Computed properties:
The formation energy is 0.931 eV per atom.

a = 4.737 Å, b = 4.737 Å, c = 4.737 Å
α = 90.00°, β = 90.00°, γ = 90.00°
Space group Pm-3m (No. 221)
Inequivalent atoms, fractional coordinates:
Nb  0.000  0.000  0.500 x3
Ru  0.000  0.000  0.000 x1
Pt  0.500  0.500  0.500 x1

=====

Entry 5:
Compound: La2ScW
Source: the Alexandria database
Functional: PBE
Structure: optimized geometry

Computed properties:
The formation energy is 0.445 eV per atom. For the energy above the most stable polymorph in this dataset, the calculation gives 71.4 meV per atom.

a = 3.688 Å, b = 5.306 Å, c = 10.843 Å
α = 90.00°, β = 90.00°, γ = 90.00°
Space group Cmm2 (No. 35)
Inequivalent atoms, fractional coordinates:
La  0.000  0.000  0.000 x2
La  0.000  0.500  0.327 x2
Sc  0.000  0.000  0.602 x2
W  0.000  0.500  0.791 x2

=====

Entry 6:
Compound: Rb2TeRuF6
Source: the Alexandria database
Functional: PBE
Structure: optimized geometry

Computed properties:
The uncorrected formation energy comes out at -1.833 eV per atom.

a = 7.238 Å, b = 7.238 Å, c = 8.425 Å
α = 90.00°, β = 90.00°, γ = 90.00°
Space group I4/mmm (No. 139)
Inequivalent atoms, fractional coordinates:
Rb  0.000  0.500  0.250 x4
Te  0.000  0.000  0.000 x2
Ru  0.000  0.000  0.500 x2
F  0.000  0.000  0.259 x4
F  0.193  0.193  0.500 x8

=====

Entry 7:
Compound: La2YAg5
Source: the Alexandria database
Functional: PBE
Structure: optimized geometry

Computed properties:
The formation energy is -0.208 eV per atom.

a = 5.176 Å, b = 5.176 Å, c = 14.684 Å
α = 90.00°, β = 90.00°, γ = 90.00°
Space group I4/mmm (No. 139)
Inequivalent atoms, fractional coordinates:
La  0.000  0.000  0.228 x4
Y  0.000  0.000  0.500 x2
Ag  0.000  0.000  0.000 x2
Ag  0.000  0.500  0.109 x8

=====

Entry 8:
Compound: TbInPd
Source: the Alexandria database
Functional: PBE
Structure: optimized geometry

Computed properties:
The formation energy is -0.684 eV per atom.

a = 4.7103 Å, b = 4.7103 Å, c = 3.5674 Å
α = 90.00°, β = 90.00°, γ = 120.00°
Space group P-6m2 (No. 187)
Inequivalent atoms, fractional coordinates:
Tb  0.0000  0.0000  0.0000 x1
In  0.3333  0.6667  0.5000 x1
Pd  0.6667  0.3333  0.5000 x1

=====

Entry 9:
Compound: PmZr2Pd9
Source: the Alexandria database
Functional: PBE
Structure: optimized geometry

Computed properties:
The formation energy is -0.821 eV per atom.

a = 4.082 Å, b = 4.082 Å, c = 12.258 Å
α = 90.00°, β = 90.00°, γ = 90.00°
Space group P4/mmm (No. 123)
Inequivalent atoms, fractional coordinates:
Pm  0.000  0.000  0.000 x1
Zr  0.000  0.000  0.335 x2
Pd  0.000  0.500  0.177 x4
Pd  0.000  0.500  0.500 x2
Pd  0.500  0.500  0.000 x1
Pd  0.500  0.500  0.339 x2

=====

Entry 10:
Compound: PuCo12B6
Source: the Alexandria database
Functional: PBE
Structure: optimized geometry

Computed properties:
The formation energy is -0.289 eV per atom.

a = 9.3886 Å, b = 9.3886 Å, c = 7.4027 Å
α = 90.00°, β = 90.00°, γ = 120.00°
Space group R-3m (No. 166, hexagonal axes)
Inequivalent atoms, fractional coordinates:
Pu  0.0000  0.0000  0.0000 x3
Co  0.0000  0.3675  0.5000 x18
Co  0.0900  0.1799  0.3662 x18
B  0.0364  0.5182  0.2863 x18

=====

Entry 11:
Compound: MoRu
Source: the Alexandria database
Functional: PBE
Structure: optimized geometry

Computed properties:
The formation energy is 0.071 eV per atom.

a = 9.777 Å, b = 4.415 Å, c = 5.530 Å
α = 90.00°, β = 90.00°, γ = 90.00°
Space group Pnma (No. 62)
Inequivalent atoms, fractional coordinates:
Mo  0.074  0.250  0.032 x4
Mo  0.179  0.750  0.258 x4
Ru  0.078  0.250  0.513 x4
Ru  0.167  0.750  0.755 x4

=====

Entry 12:
Compound: Na2SmScS4
Source: the Alexandria database
Functional: PBE
Structure: optimized geometry

Computed properties:
The uncorrected formation energy comes out at -1.758 eV per atom.

a = 6.804 Å, b = 3.930 Å, c = 7.046 Å
α = 90.00°, β = 108.81°, γ = 90.00°
Space group P2/m (No. 10)
Inequivalent atoms, fractional coordinates:
Na  0.000  0.000  0.000 x1
Na  0.500  0.500  0.000 x1
Sm  0.000  0.500  0.500 x1
Sc  0.500  0.000  0.500 x1
S  0.259  0.000  0.727 x2
S  0.275  0.500  0.281 x2

=====

Entry 13:
Compound: CeUSi2Ir5
Source: the Alexandria database
Functional: PBE
Structure: optimized geometry

Computed properties:
The uncorrected formation energy comes out at -0.623 eV per atom.

a = 4.008 Å, b = 4.008 Å, c = 11.106 Å
α = 90.00°, β = 90.00°, γ = 90.00°
Space group P4/mmm (No. 123)
Inequivalent atoms, fractional coordinates:
Ce  0.000  0.000  0.000 x1
U  0.000  0.000  0.500 x1
Si  0.500  0.500  0.212 x2
Ir  0.000  0.500  0.328 x4
Ir  0.500  0.500  0.000 x1

=====

Entry 14:
Compound: CaPm2In
Source: the Alexandria database
Functional: PBE
Structure: optimized geometry

Computed properties:
The formation energy is -0.176 eV per atom. For the energy above the most stable polymorph in this dataset, the calculation gives 56.7 meV per atom.

a = 3.677 Å, b = 3.677 Å, c = 9.945 Å
α = 90.00°, β = 90.00°, γ = 90.00°
Space group P4/mmm (No. 123)
Inequivalent atoms, fractional coordinates:
Ca  0.000  0.000  0.000 x1
Pm  0.500  0.500  0.293 x2
In  0.000  0.000  0.500 x1

=====

Entry 15:
Compound: Ce6Ga3C
Source: the Alexandria database
Functional: PBE
Structure: optimized geometry

Computed properties:
The formation energy is -0.261 eV per atom.

a = 10.724 Å, b = 6.393 Å, c = 7.031 Å
α = 90.00°, β = 99.83°, γ = 90.00°
Space group C2/m (No. 12)
Inequivalent atoms, fractional coordinates:
Ce  0.128  0.228  0.377 x8
Ce  0.130  0.500  0.851 x4
Ga  0.000  0.000  0.000 x2
Ga  0.156  0.000  0.763 x4
C  0.000  0.500  0.500 x2

=====

Entry 16:
Compound: Mg2Zn7Ir2
Source: the Alexandria database
Functional: PBE
Structure: optimized geometry

Computed properties:
The formation energy is -0.177 eV per atom.

a = 8.523 Å, b = 7.676 Å, c = 5.798 Å
α = 90.00°, β = 111.65°, γ = 90.00°
Space group C2/m (No. 12)
Inequivalent atoms, fractional coordinates:
Mg  0.000  0.196  0.000 x4
Zn  0.000  0.000  0.500 x2
Zn  0.060  0.500  0.310 x4
Zn  0.176  0.278  0.674 x8
Ir  0.245  0.500  0.052 x4

=====

Entry 17:
Compound: HfZrO2F
Source: the Alexandria database
Functional: PBE
Structure: optimized geometry

Computed properties:
The uncorrected formation energy comes out at -1.733 eV per atom.

a = 4.195 Å, b = 4.195 Å, c = 4.240 Å
α = 90.00°, β = 90.00°, γ = 90.00°
Space group P4/mmm (No. 123)
Inequivalent atoms, fractional coordinates:
Hf  0.000  0.000  0.000 x1
Zr  0.500  0.500  0.500 x1
O  0.000  0.500  0.500 x2
F  0.500  0.500  0.000 x1

=====

Entry 18:
Compound: PaAlRe2
Source: the Alexandria database
Functional: PBE
Structure: optimized geometry

Computed properties:
The formation energy is -0.084 eV per atom. For the energy above the most stable polymorph in this dataset, the calculation gives 0.0 meV per atom.

a = 4.450 Å, b = 4.450 Å, c = 3.534 Å
α = 90.00°, β = 90.00°, γ = 90.00°
Space group P4/mmm (No. 123)
Inequivalent atoms, fractional coordinates:
Pa  0.000  0.000  0.000 x1
Al  0.500  0.500  0.000 x1
Re  0.000  0.500  0.500 x2

=====

Entry 19:
Compound: BaGa2CoAg
Source: the Alexandria database
Functional: PBE
Structure: optimized geometry

Computed properties:
The formation energy is -0.234 eV per atom. For the energy above the most stable polymorph in this dataset, the calculation gives 0.0 meV per atom.

a = 4.642 Å, b = 4.642 Å, c = 5.246 Å
α = 90.00°, β = 90.00°, γ = 90.00°
Space group P4/mmm (No. 123)
Inequivalent atoms, fractional coordinates:
Ba  0.000  0.000  0.000 x1
Ga  0.000  0.500  0.500 x2
Co  0.500  0.500  0.500 x1
Ag  0.500  0.500  0.000 x1

=====

Entry 20:
Compound: LaNd2Ho3Te6
Source: the Alexandria database
Functional: PBE
Structure: optimized geometry

Computed properties:
The uncorrected formation energy comes out at -1.370 eV per atom.

a = 19.448 Å, b = 4.385 Å, c = 8.968 Å
α = 90.00°, β = 105.04°, γ = 90.00°
Space group C2/m (No. 12)
Inequivalent atoms, fractional coordinates:
La  0.000  0.000  0.000 x2
Nd  0.168  0.500  0.336 x4
Ho  0.000  0.000  0.500 x2
Ho  0.166  0.500  0.833 x4
Te  0.002  0.500  0.739 x4
Te  0.163  0.000  0.592 x4
Te  0.171  0.000  0.077 x4

=====

Entry 21:
Compound: Pm2SnP3Rh4
Source: the Alexandria database
Functional: PBE
Structure: optimized geometry

Computed properties:
The formation energy is -0.951 eV per atom.

a = 4.065 Å, b = 4.065 Å, c = 10.702 Å
α = 90.00°, β = 90.00°, γ = 90.00°
Space group P-4m2 (No. 115)
Inequivalent atoms, fractional coordinates:
Pm  0.000  0.500  0.235 x2
Sn  0.000  0.000  0.500 x1
P  0.000  0.500  0.871 x2
P  0.500  0.500  0.500 x1
Rh  0.000  0.000  0.000 x1
Rh  0.000  0.500  0.656 x2
Rh  0.500  0.500  0.000 x1

=====

Entry 22:
Compound: AsIrOs2
Source: the Alexandria database
Functional: PBE
Structure: optimized geometry

Computed properties:
The formation energy is 0.306 eV per atom.

a = 2.839 Å, b = 2.839 Å, c = 7.373 Å
α = 90.00°, β = 90.00°, γ = 90.00°
Space group P4mm (No. 99)
Inequivalent atoms, fractional coordinates:
As  0.000  0.000  0.000 x1
Ir  0.500  0.500  0.247 x1
Os  0.000  0.000  0.510 x1
Os  0.500  0.500  0.743 x1

=====

Entry 23:
Compound: Na3Hg3Sb2
Source: the Alexandria database
Functional: PBE
Structure: optimized geometry

Computed properties:
The uncorrected formation energy comes out at -0.227 eV per atom.

a = 4.757 Å, b = 11.472 Å, c = 16.622 Å
α = 90.00°, β = 90.00°, γ = 90.00°
Space group Cmcm (No. 63)
Inequivalent atoms, fractional coordinates:
Na  0.000  0.079  0.101 x8
Na  0.000  0.345  0.250 x4
Hg  0.000  0.381  0.031 x8
Hg  0.000  0.393  0.750 x4
Sb  0.000  0.208  0.614 x8

=====

Entry 24:
Compound: Be2SbW
Source: the Alexandria database
Functional: PBE
Structure: optimized geometry

Computed properties:
The uncorrected formation energy comes out at 0.363 eV per atom.

a = 3.597 Å, b = 3.600 Å, c = 8.505 Å
α = 90.00°, β = 90.00°, γ = 90.00°
Space group Imm2 (No. 44)
Inequivalent atoms, fractional coordinates:
Be  0.000  0.000  0.000 x2
Be  0.000  0.500  0.252 x2
Sb  0.000  0.000  0.502 x2
W  0.000  0.500  0.752 x2

=====

Ordered magnetic moment results: 0.20, 0.00, 20.01, 0.00, 0.00, 4.00, 0.00, 0.00, 0.00, 34.43, 0.00, 0.00, 0.56, 0.00, 7.02, 0.00, 2.54, 0.00, 0.00, 0.00, 0.00, 0.00, 0.00, 0.00; unit μB per cell.
Ordered DOS at the Fermi energy results: 8.5, 2.9, 11.5, 5.7, 11.5, 18.4, 14.3, 2.8, 0.9, 80.3, 16.0, 0.0, 8.6, 5.4, 51.0, 8.4, 4.2, 4.9, 2.1, 12.3, 4.6, 3.7, 10.5, 3.9; unit states/eV per cell.